Record 1
## LiSc3Be (PBE)

Data for a relaxed structure of LiSc3Be. Values from VASP.

Geometry as Quantum ESPRESSO input:
```
&SYSTEM
  ibrav = 0, nat = 5, ntyp = 3
/
ATOMIC_SPECIES
Sc 44.96 Sc.upf
Be 9.01 Be.upf
Li 6.94 Li.upf
CELL_PARAMETERS angstrom
-2.848 -0.577 3.986
2.559 -4.030 1.245
3.110 2.786 2.626
ATOMIC_POSITIONS crystal
Sc 0.000 0.500 0.000
Sc 0.000 0.000 0.500
Sc 0.500 0.000 0.000
Be 0.000 0.000 0.000
Li 0.500 0.500 0.500
```

polymorph energy (0 for the lowest one)	0	meV per atom
Fermi-level density of states	8.45	states/eV/f.u.
ΔH_f (0 K)	357	meV per atom
calculated volume	24.01	Å³/atom
raw total energy	-4.57	eV per atom
space-group type	Pm-3m (221)


Record 2
## Cs2PrSnCl6 (PBE)

Data for a relaxed structure of Cs2PrSnCl6. Values from VASP.

Geometry as Quantum ESPRESSO input:
```
&SYSTEM
  ibrav = 0, nat = 20, ntyp = 4
/
ATOMIC_SPECIES
Cs 132.91 Cs.upf
Pr 140.91 Pr.upf
Sn 118.71 Sn.upf
Cl 35.45 Cl.upf
CELL_PARAMETERS angstrom
7.945 0.000 0.000
0.000 7.936 0.000
0.000 0.000 13.230
ATOMIC_POSITIONS crystal
Cs 0.500 0.761 0.207
Cs 0.000 0.239 0.707
Cs 0.500 0.761 0.793
Cs 0.000 0.239 0.293
Pr 0.000 0.746 0.500
Pr 0.500 0.254 0.000
Sn 0.500 0.247 0.500
Sn 0.000 0.753 0.000
Cl 0.500 0.242 0.208
Cl 0.500 0.242 0.792
Cl 0.000 0.758 0.292
Cl 0.000 0.758 0.708
Cl 0.238 0.001 0.500
Cl 0.762 0.001 0.500
Cl 0.234 0.489 0.500
Cl 0.766 0.489 0.500
Cl 0.734 0.511 0.000
Cl 0.266 0.511 0.000
Cl 0.262 0.999 0.000
Cl 0.738 0.999 0.000
```

calculated volume	41.71	Å³/atom
raw total energy	-3.89	eV per atom
space-group type	Pmmn (59)


Record 3
## AcPmSe2O (PBE)

Data for a relaxed structure of AcPmSe2O. Values from VASP.

Geometry as Quantum ESPRESSO input:
```
&SYSTEM
  ibrav = 0, nat = 10, ntyp = 4
/
ATOMIC_SPECIES
Ac 227.00 Ac.upf
Pm 145.00 Pm.upf
Se 78.96 Se.upf
O 16.00 O.upf
CELL_PARAMETERS angstrom
-1.109 1.409 3.818
2.145 -3.161 1.790
12.314 8.586 0.407
ATOMIC_POSITIONS crystal
Ac 0.500 0.000 0.586
Ac 0.000 0.500 0.414
Pm 0.500 0.000 0.121
Pm 0.000 0.500 0.879
Se 0.000 0.500 0.699
Se 0.000 0.500 0.091
Se 0.500 0.000 0.909
Se 0.500 0.000 0.301
O 0.000 0.000 0.500
O 0.500 0.500 0.500
```

Fermi-level density of states	0.75	states/eV/f.u.
calculated volume	26.72	Å³/atom
raw total energy	-6.60	eV per atom
space-group type	P4/nmm (129)


Record 4
## Sc2FeRh2 (PBE)

Data for a relaxed structure of Sc2FeRh2. Values from VASP.

Geometry as Quantum ESPRESSO input:
```
&SYSTEM
  ibrav = 0, nat = 10, ntyp = 3
/
ATOMIC_SPECIES
Sc 44.96 Sc.upf
Rh 102.91 Rh.upf
Fe 55.84 Fe.upf
CELL_PARAMETERS angstrom
6.619 0.000 0.000
0.000 6.619 0.000
0.000 0.000 3.933
ATOMIC_POSITIONS crystal
Sc 0.172 0.672 0.500
Sc 0.672 0.828 0.500
Sc 0.828 0.328 0.500
Sc 0.328 0.172 0.500
Rh 0.357 0.857 0.000
Rh 0.857 0.643 0.000
Rh 0.643 0.143 0.000
Rh 0.143 0.357 0.000
Fe 0.000 0.000 0.000
Fe 0.500 0.500 0.000
```

Fermi-level density of states	4.39	states/eV/f.u.
ΔH_f (0 K)	-526	meV per atom
calculated volume	17.23	Å³/atom
raw total energy	-7.69	eV per atom
space-group type	P4/mbm (127)


Record 5
## Sr2SnSb (PBE)

Data for a relaxed structure of Sr2SnSb. Values from VASP.

Geometry as Quantum ESPRESSO input:
```
&SYSTEM
  ibrav = 0, nat = 8, ntyp = 3
/
ATOMIC_SPECIES
Sb 121.76 Sb.upf
Sn 118.71 Sn.upf
Sr 87.62 Sr.upf
CELL_PARAMETERS angstrom
-3.642 2.077 -7.936
-8.128 0.262 3.799
-5.439 4.675 -1.356
ATOMIC_POSITIONS crystal
Sb 0.000 0.000 0.000
Sb 0.750 0.250 0.500
Sn 0.500 0.500 0.000
Sn 0.250 0.750 0.500
Sr 0.636 0.125 0.250
Sr 0.114 0.625 0.250
Sr 0.375 0.364 0.750
Sr 0.875 0.886 0.750
```

polymorph energy (0 for the lowest one)	254	meV per atom
Fermi-level density of states	2.55	states/eV/f.u.
calculated volume	36.29	Å³/atom
raw total energy	-3.33	eV per atom
space-group type	I-42d (122)


Record 6
## TbDy2Zn2In2 (PBE)

Data for a relaxed structure of TbDy2Zn2In2. Values from VASP.

Geometry as Quantum ESPRESSO input:
```
&SYSTEM
  ibrav = 0, nat = 7, ntyp = 4
/
ATOMIC_SPECIES
Tb 158.93 Tb.upf
Dy 162.50 Dy.upf
Zn 65.41 Zn.upf
In 114.82 In.upf
CELL_PARAMETERS angstrom
-2.740 -1.523 3.511
1.663 -3.134 3.094
2.614 5.215 7.458
ATOMIC_POSITIONS crystal
Tb 0.000 0.000 0.000
Dy 0.128 0.128 0.617
Dy 0.872 0.872 0.383
Zn 0.603 0.603 0.192
Zn 0.397 0.397 0.808
In 0.737 0.737 0.788
In 0.263 0.263 0.212
```

Fermi-level density of states	3.03	states/eV/f.u.
ΔH_f (0 K)	-278	meV per atom
calculated volume	24.86	Å³/atom
raw total energy	-3.40	eV per atom
space-group type	R-3m (166)


Record 7
## DyGa6Co4 (PBE)

Data for a relaxed structure of DyGa6Co4. Values from VASP.

Geometry as Quantum ESPRESSO input:
```
&SYSTEM
  ibrav = 0, nat = 11, ntyp = 3
/
ATOMIC_SPECIES
Dy 162.50 Dy.upf
Ga 69.72 Ga.upf
Co 58.93 Co.upf
CELL_PARAMETERS angstrom
3.886 0.000 0.000
0.000 6.949 0.000
0.000 -3.474 6.018
ATOMIC_POSITIONS crystal
Dy 0.000 0.000 0.000
Ga 0.000 0.533 0.066
Ga 0.500 0.610 0.805
Ga 0.000 0.533 0.467
Ga 0.000 0.934 0.467
Ga 0.500 0.195 0.805
Ga 0.500 0.195 0.390
Co 0.500 0.788 0.577
Co 0.500 0.423 0.212
Co 0.500 0.788 0.212
Co 0.000 0.333 0.667
```

Fermi-level density of states	7.94	states/eV/f.u.
ΔH_f (0 K)	-295	meV per atom
calculated volume	14.77	Å³/atom
raw total energy	-4.95	eV per atom
space-group type	P-6m2 (187)


Record 8
## TiIrO2 (PBE)

Data for a relaxed structure of TiIrO2. Values from VASP.

Geometry as Quantum ESPRESSO input:
```
&SYSTEM
  ibrav = 0, nat = 8, ntyp = 3
/
ATOMIC_SPECIES
Ir 192.22 Ir.upf
O 16.00 O.upf
Ti 47.87 Ti.upf
CELL_PARAMETERS angstrom
4.649 0.000 0.000
0.000 4.649 0.000
2.324 2.324 4.854
ATOMIC_POSITIONS crystal
Ir 0.000 0.000 0.000
Ir 0.750 0.250 0.500
O 0.559 0.125 0.250
O 0.191 0.625 0.250
O 0.375 0.441 0.750
O 0.875 0.809 0.750
Ti 0.500 0.500 0.000
Ti 0.250 0.750 0.500
```

polymorph energy (0 for the lowest one)	626	meV per atom
Fermi-level density of states	1.28	states/eV/f.u.
calculated volume	13.11	Å³/atom
raw total energy	-7.77	eV per atom
space-group type	I-42d (122)


Record 9
## Na2ZrTl (PBE)

Data for a relaxed structure of Na2ZrTl. Values from VASP.

Geometry as Quantum ESPRESSO input:
```
&SYSTEM
  ibrav = 0, nat = 8, ntyp = 3
/
ATOMIC_SPECIES
Na 22.99 Na.upf
Tl 204.38 Tl.upf
Zr 91.22 Zr.upf
CELL_PARAMETERS angstrom
-0.953 -6.996 -5.049
8.403 0.401 -2.141
4.403 -5.071 -1.266
ATOMIC_POSITIONS crystal
Na 0.649 0.125 0.250
Na 0.101 0.625 0.250
Na 0.375 0.351 0.750
Na 0.875 0.899 0.750
Tl 0.000 0.000 0.000
Tl 0.750 0.250 0.500
Zr 0.500 0.500 0.000
Zr 0.250 0.750 0.500
```

polymorph energy (0 for the lowest one)	289	meV per atom
Fermi-level density of states	4.31	states/eV/f.u.
ΔH_f (0 K)	589	meV per atom
calculated volume	28.31	Å³/atom
raw total energy	-2.80	eV per atom
space-group type	I-42d (122)


Record 10
## CsUFeN3 (PBE)

Data for a relaxed structure of CsUFeN3. Values from VASP.

Geometry as Quantum ESPRESSO input:
```
&SYSTEM
  ibrav = 0, nat = 12, ntyp = 4
/
ATOMIC_SPECIES
Cs 132.91 Cs.upf
U 238.03 U.upf
Fe 55.84 Fe.upf
N 14.01 N.upf
CELL_PARAMETERS angstrom
-2.514 -2.229 0.954
-1.825 -1.381 -8.036
5.882 -5.413 2.854
ATOMIC_POSITIONS crystal
Cs 0.250 0.214 0.245
Cs 0.750 0.786 0.755
U 0.250 0.670 0.153
U 0.750 0.330 0.847
Fe 0.250 0.065 0.602
Fe 0.750 0.935 0.398
N 0.750 0.831 0.158
N 0.250 0.169 0.842
N 0.250 0.855 0.428
N 0.750 0.145 0.572
N 0.750 0.493 0.124
N 0.250 0.507 0.876
```

Fermi-level density of states	2.56	states/eV/f.u.
calculated volume	19.18	Å³/atom
raw total energy	-8.29	eV per atom
space-group type	P2_1/m (11)


Record 11
## FePtRh (PBE)

Data for a relaxed structure of FePtRh. Values from VASP.

Geometry as Quantum ESPRESSO input:
```
&SYSTEM
  ibrav = 0, nat = 3, ntyp = 3
/
ATOMIC_SPECIES
Rh 102.91 Rh.upf
Fe 55.84 Fe.upf
Pt 195.08 Pt.upf
CELL_PARAMETERS angstrom
-3.789 -2.771 0.744
-2.525 -1.799 -3.603
4.258 0.355 2.081
ATOMIC_POSITIONS crystal
Rh 0.661 0.661 0.000
Fe 0.002 0.002 0.000
Pt 0.336 0.336 0.000
```

polymorph energy (0 for the lowest one)	21	meV per atom
Fermi-level density of states	4.64	states/eV/f.u.
ΔH_f (0 K)	-99	meV per atom
calculated volume	14.10	Å³/atom
raw total energy	-7.38	eV per atom
space-group type	Imm2 (44)


Record 12
## Sc7Ag6 (PBE)

Data for a relaxed structure of Sc7Ag6. Values from VASP.

Geometry as Quantum ESPRESSO input:
```
&SYSTEM
  ibrav = 0, nat = 13, ntyp = 2
/
ATOMIC_SPECIES
Sc 44.96 Sc.upf
Ag 107.87 Ag.upf
CELL_PARAMETERS angstrom
-3.262 9.316 -1.916
-6.829 7.057 2.159
-1.594 9.208 3.709
ATOMIC_POSITIONS crystal
Sc 0.920 0.413 0.413
Sc 0.413 0.413 0.920
Sc 0.413 0.920 0.413
Sc 0.080 0.587 0.587
Sc 0.587 0.080 0.587
Sc 0.587 0.587 0.080
Sc 0.500 0.500 0.500
Ag 0.952 0.952 0.952
Ag 0.048 0.048 0.048
Ag 0.848 0.848 0.848
Ag 0.152 0.152 0.152
Ag 0.666 0.666 0.666
Ag 0.334 0.334 0.334
```

Fermi-level density of states	12.76	states/eV/f.u.
ΔH_f (0 K)	187	meV per atom
calculated volume	21.72	Å³/atom
raw total energy	-4.54	eV per atom
space-group type	R-3m (166)


Record 13
## ZrAgSb2 (PBE)

Data for a relaxed structure of ZrAgSb2. Values from VASP.

Geometry as Quantum ESPRESSO input:
```
&SYSTEM
  ibrav = 0, nat = 4, ntyp = 3
/
ATOMIC_SPECIES
Ag 107.87 Ag.upf
Sb 121.76 Sb.upf
Zr 91.22 Zr.upf
CELL_PARAMETERS angstrom
-1.675 0.832 -2.731
-0.580 -3.199 -0.620
-7.276 0.429 4.594
ATOMIC_POSITIONS crystal
Ag 0.500 0.500 0.750
Sb 0.000 0.000 0.005
Sb 0.000 0.000 0.495
Zr 0.500 0.500 0.250
```

Fermi-level density of states	1.66	states/eV/f.u.
calculated volume	23.60	Å³/atom
raw total energy	-4.99	eV per atom
space-group type	P4/mmm (123)


Record 14
## Mn3P (PBE)

Data for a relaxed structure of Mn3P. Values from VASP.

Geometry as Quantum ESPRESSO input:
```
&SYSTEM
  ibrav = 0, nat = 16, ntyp = 2
/
ATOMIC_SPECIES
Mn 54.94 Mn.upf
P 30.97 P.upf
CELL_PARAMETERS angstrom
-4.147 1.536 -5.034
1.116 -4.757 4.586
-2.287 4.624 4.276
ATOMIC_POSITIONS crystal
Mn 0.801 0.823 0.189
Mn 0.634 0.612 0.811
Mn 0.388 0.199 0.023
Mn 0.177 0.366 0.977
Mn 0.131 0.457 0.615
Mn 0.842 0.516 0.385
Mn 0.484 0.869 0.326
Mn 0.543 0.158 0.674
Mn 0.083 0.036 0.607
Mn 0.429 0.476 0.393
Mn 0.524 0.917 0.953
Mn 0.964 0.571 0.047
P 0.283 0.033 0.331
P 0.701 0.952 0.669
P 0.048 0.717 0.750
P 0.967 0.299 0.250
```

Fermi-level density of states	4.89	states/eV/f.u.
ΔH_f (0 K)	-373	meV per atom
calculated volume	11.10	Å³/atom
raw total energy	-8.60	eV per atom
space-group type	I-4 (82)


Record 15
## LiSiPdPb2 (PBE)

Data for a relaxed structure of LiSiPdPb2. Values from VASP.

Geometry as Quantum ESPRESSO input:
```
&SYSTEM
  ibrav = 0, nat = 5, ntyp = 4
/
ATOMIC_SPECIES
Pb 207.20 Pb.upf
Si 28.09 Si.upf
Pd 106.42 Pd.upf
Li 6.94 Li.upf
CELL_PARAMETERS angstrom
5.298 0.000 0.000
0.000 4.565 0.000
0.000 0.000 5.298
ATOMIC_POSITIONS crystal
Pb 0.000 0.000 0.500
Pb 0.500 0.000 0.000
Si 0.000 0.000 0.000
Pd 0.500 0.500 0.500
Li 0.000 0.500 0.000
```

Fermi-level density of states	3.95	states/eV/f.u.
calculated volume	25.62	Å³/atom
raw total energy	-3.52	eV per atom
space-group type	P4/mmm (123)


Record 16
## GeN3Cl (PBE)

Data for a relaxed structure of GeN3Cl. Values from VASP.

Geometry as Quantum ESPRESSO input:
```
&SYSTEM
  ibrav = 0, nat = 5, ntyp = 3
/
ATOMIC_SPECIES
Ge 72.64 Ge.upf
N 14.01 N.upf
Cl 35.45 Cl.upf
CELL_PARAMETERS angstrom
-1.025 -3.121 -1.873
3.621 -0.674 -0.858
0.375 -2.026 3.171
ATOMIC_POSITIONS crystal
Ge 0.500 0.500 0.500
N 0.000 0.500 0.000
N 0.000 0.000 0.500
N 0.500 0.000 0.000
Cl 0.000 0.000 0.000
```

Fermi-level density of states	2.74	states/eV/f.u.
calculated volume	10.82	Å³/atom
raw total energy	-3.69	eV per atom
space-group type	Pm-3m (221)


Record 17
## MnGeIr2 (PBE)

Data for a relaxed structure of MnGeIr2. Values from VASP.

Geometry as Quantum ESPRESSO input:
```
&SYSTEM
  ibrav = 0, nat = 4, ntyp = 3
/
ATOMIC_SPECIES
Ge 72.64 Ge.upf
Ir 192.22 Ir.upf
Mn 54.94 Mn.upf
CELL_PARAMETERS angstrom
3.513 0.000 0.000
0.000 4.031 0.000
0.000 0.000 4.031
ATOMIC_POSITIONS crystal
Ge 0.500 0.000 0.000
Ir 0.000 0.000 0.500
Ir 0.000 0.500 0.000
Mn 0.500 0.500 0.500
```

Fermi-level density of states	2.27	states/eV/f.u.
ΔH_f (0 K)	-195	meV per atom
calculated volume	14.27	Å³/atom
raw total energy	-8.07	eV per atom
space-group type	P4/mmm (123)


Record 18
## Er3TlS2 (PBE)

Data for a relaxed structure of Er3TlS2. Values from VASP.

Geometry as Quantum ESPRESSO input:
```
&SYSTEM
  ibrav = 0, nat = 12, ntyp = 3
/
ATOMIC_SPECIES
Er 167.26 Er.upf
Tl 204.38 Tl.upf
S 32.06 S.upf
CELL_PARAMETERS angstrom
3.815 0.000 0.000
-1.908 7.144 0.000
0.000 0.000 10.905
ATOMIC_POSITIONS crystal
Er 0.642 0.284 0.024
Er 0.038 0.076 0.750
Er 0.642 0.284 0.476
Er 0.962 0.924 0.250
Er 0.358 0.716 0.976
Er 0.358 0.716 0.524
Tl 0.278 0.557 0.250
Tl 0.722 0.443 0.750
S 0.000 0.000 0.000
S 0.000 0.000 0.500
S 0.590 0.180 0.250
S 0.410 0.820 0.750
```

Fermi-level density of states	3.19	states/eV/f.u.
calculated volume	24.77	Å³/atom
raw total energy	-5.28	eV per atom
space-group type	Cmcm (63)


Record 19
## Y3ThRu3 (PBE)

Data for a relaxed structure of Y3ThRu3. Values from VASP.

Geometry as Quantum ESPRESSO input:
```
&SYSTEM
  ibrav = 0, nat = 7, ntyp = 3
/
ATOMIC_SPECIES
Y 88.91 Y.upf
Th 232.04 Th.upf
Ru 101.07 Ru.upf
CELL_PARAMETERS angstrom
0.824 0.845 -5.744
-3.382 -4.938 0.916
-2.667 4.717 2.241
ATOMIC_POSITIONS crystal
Y 0.410 0.003 0.000
Y 0.590 0.593 0.590
Y 0.000 0.003 0.410
Th 0.000 0.414 0.000
Ru 0.488 0.500 0.000
Ru 0.512 0.011 0.512
Ru 0.000 0.500 0.488
```

Fermi-level density of states	4.59	states/eV/f.u.
ΔH_f (0 K)	-401	meV per atom
calculated volume	22.71	Å³/atom
raw total energy	-8.21	eV per atom
space-group type	R3m (160)


Record 20
## SrReN3 (PBE)

Data for a relaxed structure of SrReN3. Values from VASP.

Geometry as Quantum ESPRESSO input:
```
&SYSTEM
  ibrav = 0, nat = 20, ntyp = 3
/
ATOMIC_SPECIES
Re 186.21 Re.upf
N 14.01 N.upf
Sr 87.62 Sr.upf
CELL_PARAMETERS angstrom
-3.905 -1.768 4.820
0.222 -9.928 -3.462
4.312 -0.994 3.128
ATOMIC_POSITIONS crystal
Re 0.332 0.250 0.569
Re 0.168 0.750 0.069
Re 0.668 0.750 0.431
Re 0.832 0.250 0.931
N 0.156 0.888 0.885
N 0.344 0.388 0.385
N 0.344 0.112 0.385
N 0.844 0.388 0.115
N 0.844 0.112 0.115
N 0.656 0.612 0.615
N 0.656 0.888 0.615
N 0.156 0.612 0.885
N 0.060 0.250 0.706
N 0.440 0.750 0.206
N 0.940 0.750 0.294
N 0.560 0.250 0.794
Sr 0.000 0.000 0.500
Sr 0.500 0.500 0.000
Sr 0.500 0.000 0.000
Sr 0.000 0.500 0.500
```

Fermi-level density of states	0.00	states/eV/f.u.
calculated volume	18.38	Å³/atom
raw total energy	-8.27	eV per atom
space-group type	Pnma (62)